[1]
FeSnGe | PBE | relaxed

Cell lengths 4.2208, 4.2208, 4.2208 Å; angles 60.00, 60.00, 60.00 degrees
Positions (direct):
Fe (0.0000, 0.0000, 0.0000)
Ge (0.2500, 0.2500, 0.2500)
Sn (0.7500, 0.7500, 0.7500)

=====

[2]
Fe3SnGe2 | PBE | relaxed

Cell lengths 5.1681, 5.1681, 3.9502 Å; angles 90.00, 90.00, 120.00 degrees
Positions (direct):
Fe (0.5000, 0.0000, 0.0000)
Fe (0.0000, 0.5000, 0.0000)
Fe (0.5000, 0.5000, 0.0000)
Ge (0.6667, 0.3333, 0.5000)
Ge (0.3333, 0.6667, 0.5000)
Sn (0.0000, 0.0000, 0.0000)

=====

[3]
Fe2SnGe | PBE | relaxed

Cell lengths 6.0341, 6.0341, 6.0341 Å; angles 90.00, 90.00, 90.00 degrees
Positions (direct):
Fe (0.2380, 0.2380, 0.2380)
Fe (0.7620, 0.2380, 0.2380)
Fe (0.2380, 0.7620, 0.2380)
Fe (0.7620, 0.7620, 0.2380)
Fe (0.2380, 0.2380, 0.7620)
Fe (0.7620, 0.2380, 0.7620)
Fe (0.2380, 0.7620, 0.7620)
Fe (0.7620, 0.7620, 0.7620)
Ge (0.0000, 0.0000, 0.0000)
Ge (0.5000, 0.0000, 0.0000)
Ge (0.0000, 0.5000, 0.0000)
Ge (0.0000, 0.0000, 0.5000)
Sn (0.5000, 0.5000, 0.0000)
Sn (0.5000, 0.0000, 0.5000)
Sn (0.0000, 0.5000, 0.5000)
Sn (0.5000, 0.5000, 0.5000)

=====

[4]
Tm4Fe2SnGe4 | PBE | relaxed

Cell lengths 7.9402, 7.9402, 6.9526 Å; angles 107.28, 107.28, 30.71 degrees
Positions (direct):
Fe (0.7789, 0.7789, 0.3711)
Fe (0.2211, 0.2211, 0.6289)
Ge (0.2087, 0.2087, 0.2721)
Ge (0.9295, 0.9295, 0.3446)
Ge (0.0705, 0.0705, 0.6554)
Ge (0.7913, 0.7913, 0.7279)
Sn (0.0000, 0.0000, 0.0000)
Tm (0.3461, 0.3461, 0.0598)
Tm (0.5899, 0.5899, 0.3856)
Tm (0.4101, 0.4101, 0.6144)
Tm (0.6539, 0.6539, 0.9402)

=====

[5]
SrFeGe2 | PBE | relaxed

Cell lengths 4.8074, 4.8074, 4.8074 Å; angles 60.00, 60.00, 60.00 degrees
Positions (direct):
Fe (0.2500, 0.2500, 0.2500)
Ge (0.0000, 0.0000, 0.0000)
Ge (0.7500, 0.7500, 0.7500)
Sr (0.5000, 0.5000, 0.5000)

=====

[6]
Sr2FeGe | PBE | relaxed

Cell lengths 5.1465, 5.1465, 5.1465 Å; angles 60.00, 60.00, 60.00 degrees
Positions (direct):
Fe (0.2500, 0.2500, 0.2500)
Ge (0.5000, 0.5000, 0.5000)
Sr (0.0000, 0.0000, 0.0000)
Sr (0.7500, 0.7500, 0.7500)

=====

| no. | energy (Ha/atom) |
| --- | --- |
| 1 | -0.2015 |
| 2 | -0.2368 |
| 3 | -0.2235 |
| 4 | -0.2146 |
| 5 | -0.1624 |
| 6 | -0.1379 |